First-principles (GGA-PBEsol) data for an optimized crystal structure of Y3Cu, as listed in Alexandria via LeMat-Bulk.

Cell lengths 3.446, 3.446, 8.600 Å; angles 90.00, 90.00, 90.00 degrees
Element x y z (fractional)
Y (0.000, 0.000, 0.000)
Y (0.500, 0.500, 0.304)
Y (0.500, 0.500, 0.696)
Cu (0.000, 0.000, 0.500)

Properties
Volume in Å³/atom: 25.54
Total magnetic moment in μB per cell: 0.0
E_tot in eV/atom: -6.28
Formation energy from the elements in eV per formula unit: -0.3
D(E_F) in states/eV/cell: 5.67

***

First-principles (GGA-PBEsol) data for an optimized crystal structure of LiMg2C2, as listed in Alexandria via LeMat-Bulk.

Cell lengths 4.134, 4.134, 8.582 Å; angles 90.00, 90.00, 90.00 degrees
Element x y z (fractional)
Li (0.000, 0.000, 0.000)
Li (0.500, 0.500, 0.500)
Mg (0.000, 0.000, 0.323)
Mg (0.000, 0.000, 0.677)
Mg (0.500, 0.500, 0.177)
Mg (0.500, 0.500, 0.823)
C (0.000, 0.500, 0.250)
C (0.000, 0.500, 0.750)
C (0.500, 0.000, 0.250)
C (0.500, 0.000, 0.750)

Properties
Volume in Å³/atom: 14.67
Total magnetic moment in μB per cell: 0.0
E_tot in eV/atom: -3.83
Formation energy from the elements in eV per formula unit: 5.5
D(E_F) in states/eV/cell: 3.78

***

First-principles (GGA-PBEsol) data for an optimized crystal structure of LaMg3N, as listed in Alexandria via LeMat-Bulk.

Cell lengths 4.646, 4.646, 4.646 Å; angles 90.00, 90.00, 90.00 degrees
Element x y z (fractional)
La (0.000, 0.000, 0.000)
Mg (0.000, 0.500, 0.500)
Mg (0.500, 0.000, 0.500)
Mg (0.500, 0.500, 0.000)
N (0.500, 0.500, 0.500)

Properties
Volume in Å³/atom: 20.05
Energy relative to the elements, uncorrected in eV per formula unit: 0.263
Total magnetic moment in μB per cell: 0.0
E_tot in eV/atom: -3.75
D(E_F) in states/eV/cell: 3.27

***

First-principles (GGA-PBEsol) data for an optimized crystal structure of Ca2AlTe, as listed in Alexandria via LeMat-Bulk.

Cell lengths 6.776, 8.452, 3.749 Å; angles 90.00, 90.00, 90.00 degrees
Element x y z (fractional)
Ca (0.250, 0.250, 0.000)
Ca (0.250, 0.750, 0.000)
Ca (0.750, 0.250, 0.000)
Ca (0.750, 0.750, 0.000)
Al (0.000, 0.000, 0.500)
Al (0.500, 0.500, 0.500)
Te (0.000, 0.500, 0.500)
Te (0.500, 0.000, 0.500)

Properties
Volume in Å³/atom: 26.83
Energy relative to the elements, uncorrected in eV per formula unit: -2.560
Total magnetic moment in μB per cell: 0.0
Energy above the lowest structure with this stoichiometry in meV/atom: 0
E_tot in eV/atom: -3.61
D(E_F) in states/eV/cell: 3.27

***

First-principles (GGA-PBEsol) data for an optimized crystal structure of Dy6Co2Sn, as listed in Alexandria via LeMat-Bulk.

Cell lengths 8.221, 8.221, 8.221 Å; angles 111.86, 109.59, 106.99 degrees
Element x y z (fractional)
Dy (0.029, 0.236, 0.793)
Dy (0.184, 0.285, 0.469)
Dy (0.184, 0.715, 0.899)
Dy (0.324, 0.011, 0.687)
Dy (0.324, 0.637, 0.313)
Dy (0.444, 0.236, 0.207)
Dy (0.556, 0.764, 0.793)
Dy (0.676, 0.363, 0.687)
Dy (0.676, 0.989, 0.313)
Dy (0.816, 0.285, 0.101)
Dy (0.816, 0.715, 0.531)
Dy (0.971, 0.764, 0.207)
Co (0.113, 0.613, 0.500)
Co (0.342, 0.000, 0.342)
Co (0.658, 0.000, 0.658)
Co (0.887, 0.387, 0.500)
Sn (0.000, 0.000, 0.000)
Sn (0.500, 0.500, 0.000)

Properties
Volume in Å³/atom: 23.72
Total magnetic moment in μB per cell: 0.0
E_tot in eV/atom: -5.86
Formation energy from the elements in eV per formula unit: -3.1
D(E_F) in states/eV/cell: 12.18

***

First-principles (GGA-PBEsol) data for an optimized crystal structure of CoAgRu2, as listed in Alexandria via LeMat-Bulk.

Cell lengths 9.059, 2.665, 4.556 Å; angles 90.00, 102.89, 90.00 degrees
Element x y z (fractional)
Co (0.000, 0.000, 0.000)
Co (0.500, 0.500, 0.000)
Ag (0.000, 0.500, 0.500)
Ag (0.500, 0.000, 0.500)
Ru (0.232, 0.500, 0.227)
Ru (0.268, 0.000, 0.773)
Ru (0.732, 0.000, 0.227)
Ru (0.768, 0.500, 0.773)

Properties
Volume in Å³/atom: 13.40
Total magnetic moment in μB per cell: 3.3
E_tot in eV/atom: -7.40
Formation energy from the elements in eV per formula unit: 1.8
D(E_F) in states/eV/cell: 10.87

***

First-principles (GGA-PBEsol) data for an optimized crystal structure of LiHgOs, as listed in Alexandria via LeMat-Bulk.

Cell lengths 6.189, 6.189, 6.189 Å; angles 90.00, 90.00, 90.00 degrees
Element x y z (fractional)
Li (0.000, 0.000, 0.000)
Li (0.000, 0.500, 0.500)
Li (0.500, 0.000, 0.500)
Li (0.500, 0.500, 0.000)
Hg (0.000, 0.000, 0.500)
Hg (0.000, 0.500, 0.000)
Hg (0.500, 0.000, 0.000)
Hg (0.500, 0.500, 0.500)
Os (0.250, 0.250, 0.250)
Os (0.250, 0.750, 0.750)
Os (0.750, 0.250, 0.750)
Os (0.750, 0.750, 0.250)

Properties
Volume in Å³/atom: 19.76
Total magnetic moment in μB per cell: 8.2
E_tot in eV/atom: -3.69
Formation energy from the elements in eV per formula unit: 3.7
D(E_F) in states/eV/cell: 16.32

***

First-principles (GGA-PBEsol) data for an optimized crystal structure of LaCuBr2, as listed in Alexandria via LeMat-Bulk.

Cell lengths 3.984, 4.850, 9.651 Å; angles 90.00, 90.00, 90.00 degrees
Element x y z (fractional)
La (0.000, 0.000, 0.000)
La (0.500, 0.500, 0.500)
Cu (0.000, 0.500, 0.287)
Cu (0.500, 0.000, 0.787)
Br (0.000, 0.000, 0.560)
Br (0.000, 0.500, 0.784)
Br (0.500, 0.000, 0.284)
Br (0.500, 0.500, 0.060)

Properties
Volume in Å³/atom: 23.31
Energy relative to the elements, uncorrected in eV per formula unit: -3.421
Total magnetic moment in μB per cell: 0.0
Energy above the lowest structure with this stoichiometry in meV/atom: 33
E_tot in eV/atom: -4.21
D(E_F) in states/eV/cell: 0.74